[1]
Below is Mg2HgI after structural relaxation, with properties calculated at the PBE-GGA level.

Output
Energy above the lowest structure with this stoichiometry = 0 meV per atom
Formation energy (no corrections) = -17.6 kJ per mole of atoms
V = 28.61 Å³ per atom
Density of states at the Fermi level = 1.428 states/eV/f.u.

a b c (Å): 8.0450 8.0450 6.6985
angles (deg): 53.09 53.09 90.00
Last column: nearest neighbours and their distance in Å.
Atoms (fractional coordinates):
Mg: 0.1024 0.6250 0.2500  2 Hg 2.86, 2 I 3.10
Mg: 0.6476 0.1250 0.2500  2 Hg 2.86, 2 I 3.10
Mg: 0.8750 0.8976 0.7500  2 Hg 2.86, 2 I 3.10
Mg: 0.3750 0.3524 0.7500  2 Hg 2.86, 2 I 3.10
Hg: 0.7500 0.2500 0.5000  4 Mg 2.86
Hg: 0.0000 0.0000 0.0000  4 Mg 2.86
I: 0.5000 0.5000 0.0000  4 Mg 3.10
I: 0.2500 0.7500 0.5000  4 Mg 3.10


[2]
Below is MgHgI after structural relaxation, with properties calculated at the PBE-GGA level.

Output
Energy above the lowest structure with this stoichiometry = 26 meV per atom
Formation energy (no corrections) = -40.1 kJ per mole of atoms
V = 30.82 Å³ per atom
Density of states at the Fermi level = 0.763 states/eV/f.u.

a b c (Å): 7.0124 3.9168 14.0329
angles (deg): 90.00 106.35 90.00
Last column: nearest neighbours and their distance in Å.
Atoms (fractional coordinates):
Hg: 0.5000 0.5000 0.5000  4 Mg 3.05
Hg: 0.5000 0.0000 0.0000  4 Mg 3.05
Hg: 0.0000 0.0000 0.0000  4 Mg 3.07
Hg: 0.0000 0.5000 0.5000  4 Mg 3.07
I: 0.2551 0.0000 0.2632  3 Mg 2.96-3.00
I: 0.2551 0.5000 0.7632  3 Mg 2.96-3.00
I: 0.7449 0.0000 0.7368  3 Mg 2.96-3.00
I: 0.7449 0.5000 0.2368  3 Mg 2.96-3.00
Mg: 0.3178 0.5000 0.1167  3 I 2.96-3.00, 4 Hg 3.05-3.07
Mg: 0.6822 0.0000 0.3833  3 I 2.96-3.00, 4 Hg 3.05-3.07
Mg: 0.3178 0.0000 0.6167  3 I 2.96-3.00, 4 Hg 3.05-3.07
Mg: 0.6822 0.5000 0.8833  3 I 2.96-3.00, 4 Hg 3.05-3.07


[3]
Below is Mg5HgI12 after structural relaxation, with properties calculated at the PBE-GGA level.

Output
Formation energy (no corrections) = -87.1 kJ per mole of atoms
V = 40.09 Å³ per atom
Density of states at the Fermi level = 0.000 states/eV/f.u.

a b c (Å): 7.3312 7.3334 15.4985
angles (deg): 89.97 89.94 60.01
Last column: nearest neighbours and their distance in Å.
Atoms (fractional coordinates):
Hg: 0.0000 0.0000 0.0000  6 I 3.06
I: 0.5002 0.6666 0.3926  3 Mg 2.96
I: 0.4998 0.3334 0.6074  3 Mg 2.96
I: 0.6546 0.3453 0.1104  2 Mg 2.95, 1 Hg 3.06
I: 0.6550 0.0000 0.8894  2 Mg 2.95, 1 Hg 3.06
I: 0.8335 0.0000 0.3928  3 Mg 2.96
I: 0.0001 0.3453 0.8896  2 Mg 2.95, 1 Hg 3.06
I: 0.9999 0.6547 0.1104  2 Mg 2.95, 1 Hg 3.06
I: 0.8332 0.6666 0.6074  3 Mg 2.96
I: 0.1668 0.3334 0.3926  3 Mg 2.96
I: 0.3450 0.0000 0.1106  2 Mg 2.95, 1 Hg 3.06
I: 0.3454 0.6547 0.8896  2 Mg 2.95, 1 Hg 3.06
I: 0.1665 0.0000 0.6072  3 Mg 2.96
Mg: 0.5000 0.0000 0.5000  6 I 2.96
Mg: 0.1668 0.6664 0.5000  6 I 2.96
Mg: 0.6664 0.6672 0.0000  6 I 2.95
Mg: 0.3336 0.3328 0.0000  6 I 2.95
Mg: 0.8332 0.3336 0.5000  6 I 2.96


[4]
Below is MgHgI3 after structural relaxation, with properties calculated at the PBE-GGA level.

Output
Energy above the lowest structure with this stoichiometry = 0 meV per atom
Formation energy (no corrections) = -64.9 kJ per mole of atoms
V = 48.15 Å³ per atom
Density of states at the Fermi level = 0.000 states/eV/f.u.

a b c (Å): 4.1628 10.8350 11.0857
angles (deg): 100.89 90.00 101.08
Last column: nearest neighbours and their distance in Å.
Atoms (fractional coordinates):
I: 0.0882 0.1763 0.8504  2 Mg 2.83
I: 0.9118 0.8237 0.1496  2 Mg 2.83
I: 0.3475 0.6949 0.5332  2 Hg 2.89
I: 0.2221 0.4443 0.1495  3 Mg 2.84-3.00
I: 0.7779 0.5557 0.8505  3 Mg 2.84-3.00
I: 0.6525 0.3051 0.4668  2 Hg 2.89
Mg: 0.3312 0.6624 0.0372  5 I 2.83-3.00
Mg: 0.6688 0.3376 0.9628  5 I 2.83-3.00
Hg: 0.0616 0.1233 0.4914  1 Hg 2.66, 2 I 2.89
Hg: 0.9384 0.8767 0.5086  1 Hg 2.66, 2 I 2.89


[5]
Below is MgHg2I6 after structural relaxation, with properties calculated at the PBE-GGA level.

Output
Energy above the lowest structure with this stoichiometry = 0 meV per atom
Formation energy (no corrections) = -50.5 kJ per mole of atoms
V = 48.91 Å³ per atom
Density of states at the Fermi level = 0.000 states/eV/f.u.

a b c (Å): 7.5823 11.4291 11.4291
angles (deg): 87.60 70.75 70.75
Last column: nearest neighbours and their distance in Å.
Atoms (fractional coordinates):
I: 0.4022 0.4307 0.7549  1 Mg 2.76, 1 Hg 2.87
I: 0.4145 0.9499 0.2401  1 Mg 2.76, 1 Hg 2.87
I: 0.9022 0.7549 0.4307  1 Mg 2.76, 1 Hg 2.87
I: 0.5855 0.0501 0.7599  1 Mg 2.76, 1 Hg 2.87
I: 0.7211 0.6430 0.8311  2 Hg 2.82-2.89
I: 0.7789 0.1689 0.3570  2 Hg 2.82-2.89
I: 0.2789 0.3570 0.1689  2 Hg 2.82-2.89
I: 0.5978 0.5693 0.2451  1 Mg 2.76, 1 Hg 2.87
I: 0.0855 0.7599 0.0501  1 Mg 2.76, 1 Hg 2.87
I: 0.9145 0.2401 0.9499  1 Mg 2.76, 1 Hg 2.87
I: 0.2211 0.8311 0.6430  2 Hg 2.82-2.89
I: 0.0978 0.2451 0.5693  1 Mg 2.76, 1 Hg 2.87
Hg: 0.4145 0.1791 0.3345  4 I 2.82-2.89
Hg: 0.9145 0.3345 0.1791  4 I 2.82-2.89
Hg: 0.0855 0.6655 0.8209  4 I 2.82-2.89
Hg: 0.5855 0.8209 0.6655  4 I 2.82-2.89
Mg: 0.7500 0.7585 0.2415  4 I 2.76
Mg: 0.2500 0.2415 0.7585  4 I 2.76


[6]
Below is MgHgI after structural relaxation, with properties calculated at the PBE-GGA level.

Output
Energy above the lowest structure with this stoichiometry = 0 meV per atom
Formation energy (no corrections) = -42.6 kJ per mole of atoms
V = 29.78 Å³ per atom
Density of states at the Fermi level = 0.491 states/eV/f.u.

a b c (Å): 6.5348 3.9407 7.0579
angles (deg): 90.00 100.60 90.00
Last column: nearest neighbours and their distance in Å.
Atoms (fractional coordinates):
Mg: 0.2963 0.2500 0.5078  3 I 2.97, 3 Hg 3.02-3.08
Mg: 0.7037 0.7500 0.4922  3 I 2.97, 3 Hg 3.02-3.08
I: 0.0364 0.7500 0.2570  3 Mg 2.97
I: 0.9636 0.2500 0.7430  3 Mg 2.97
Hg: 0.5201 0.2500 0.1698  3 Mg 3.02-3.08, 2 Hg 3.08
Hg: 0.4799 0.7500 0.8302  3 Mg 3.02-3.08, 2 Hg 3.08


[7]
Below is MgHgI after structural relaxation, with properties calculated at the PBE-GGA level.

Output
Energy above the lowest structure with this stoichiometry = 56 meV per atom
Formation energy (no corrections) = -37.2 kJ per mole of atoms
V = 31.25 Å³ per atom
Density of states at the Fermi level = 1.011 states/eV/f.u.

a b c (Å): 3.9014 6.9725 7.4616
angles (deg): 90.89 105.02 106.11
Last column: nearest neighbours and their distance in Å.
Atoms (fractional coordinates):
Mg: 0.4797 0.9377 0.0681  4 Hg 2.93-2.94, 2 I 3.02-3.15
Mg: 0.5461 0.4239 0.6994  4 I 2.94, 3 Hg 3.10-3.14
I: 0.8142 0.2068 0.4508  3 Mg 2.94-3.15
I: 0.1933 0.7480 0.6705  3 Mg 2.94-3.02
Hg: 0.0859 0.2404 0.9768  4 Mg 2.93-3.14, 2 Hg 3.25-3.26
Hg: 0.8412 0.6166 0.1079  3 Mg 2.94-3.10, 2 Hg 3.25-3.26


[8]
Below is MgHgI3 after structural relaxation, with properties calculated at the PBE-GGA level.

Output
Energy above the lowest structure with this stoichiometry = 287 meV per atom
Formation energy (no corrections) = -37.2 kJ per mole of atoms
V = 38.51 Å³ per atom
Density of states at the Fermi level = 10.600 states/eV/f.u.

a b c (Å): 5.7747 5.7747 5.7747
angles (deg): 90.00 90.00 90.00
Last column: nearest neighbours and their distance in Å.
Atoms (fractional coordinates):
I: 0.0000 0.5000 0.0000  2 Mg 2.89
I: 0.0000 0.0000 0.5000  2 Mg 2.89
I: 0.5000 0.0000 0.0000  2 Mg 2.89
Hg: 0.5000 0.5000 0.5000  12 I 4.08
Mg: 0.0000 0.0000 0.0000  6 I 2.89


[9]
Below is MgHgI after structural relaxation, with properties calculated at the PBE-GGA level.

Output
Energy above the lowest structure with this stoichiometry = 43 meV per atom
Formation energy (no corrections) = -38.4 kJ per mole of atoms
V = 33.21 Å³ per atom
Density of states at the Fermi level = 0.630 states/eV/f.u.

a b c (Å): 4.1456 4.1577 7.0923
angles (deg): 107.54 89.75 119.75
Last column: nearest neighbours and their distance in Å.
Atoms (fractional coordinates):
Mg: 0.4897 0.6037 0.9470  3 Hg 2.88-2.89, 3 I 2.98
I: 0.0681 0.7576 0.6818  3 Mg 2.98, 1 Hg 3.29
Hg: 0.9033 0.4317 0.1873  3 Mg 2.88-2.89


[10]
Below is MgHgIN2 after structural relaxation, with properties calculated at the PBE-GGA level.

Output
Energy above the lowest structure with this stoichiometry = 0 meV per atom
Formation energy (no corrections) = 109.5 kJ per mole of atoms
V = 23.83 Å³ per atom
Density of states at the Fermi level = 1.395 states/eV/f.u.

a b c (Å): 4.3529 4.3529 6.2875
angles (deg): 90.00 90.00 90.00
Last column: nearest neighbours and their distance in Å.
Atoms (fractional coordinates):
Hg: 0.5000 0.5000 0.5000  4 I 3.08
N: 0.5000 0.0000 0.0000  2 Mg 2.18
N: 0.0000 0.5000 0.0000  2 Mg 2.18
I: 0.0000 0.0000 0.5000  4 Hg 3.08, 2 Mg 3.14
Mg: 0.0000 0.0000 0.0000  4 N 2.18


[11]
Below is MgHgIN2 after structural relaxation, with properties calculated at the PBE-GGA level.

Output
Energy above the lowest structure with this stoichiometry = 401 meV per atom
Formation energy (no corrections) = 148.2 kJ per mole of atoms
V = 25.97 Å³ per atom
Density of states at the Fermi level = 3.119 states/eV/f.u.

a b c (Å): 4.3039 4.3039 7.0108
angles (deg): 90.00 90.00 90.00
Last column: nearest neighbours and their distance in Å.
Atoms (fractional coordinates):
N: 0.5000 0.0000 0.0000  2 Hg 2.15
N: 0.0000 0.5000 0.0000  2 Hg 2.15
Hg: 0.0000 0.0000 0.0000  4 N 2.15
I: 0.0000 0.0000 0.5000  4 Mg 3.04
Mg: 0.5000 0.5000 0.5000  4 I 3.04


[12]
Below is MgPaHgI6 after structural relaxation, with properties calculated at the PBE-GGA level.

Output
Formation energy (no corrections) = -82.9 kJ per mole of atoms
V = 54.57 Å³ per atom
Density of states at the Fermi level = 0.906 states/eV/f.u.

a b c (Å): 7.5708 7.5708 19.7885
angles (deg): 90.00 90.00 120.00
Last column: nearest neighbours and their distance in Å.
Atoms (fractional coordinates):
I: 0.9909 0.6411 0.8381  1 Mg 2.96, 1 Pa 3.05
I: 0.0091 0.6501 0.3381  1 Mg 2.96, 1 Pa 3.05
I: 0.3499 0.3589 0.3381  1 Mg 2.96, 1 Pa 3.05
I: 0.3499 0.9909 0.1619  1 Mg 2.96, 1 Pa 3.05
I: 0.6501 0.6411 0.6619  1 Mg 2.96, 1 Pa 3.05
I: 0.9909 0.3499 0.6619  1 Mg 2.96, 1 Pa 3.05
I: 0.3589 0.0091 0.6619  1 Mg 2.96, 1 Pa 3.05
I: 0.6411 0.6501 0.1619  1 Mg 2.96, 1 Pa 3.05
I: 0.0091 0.3589 0.1619  1 Mg 2.96, 1 Pa 3.05
I: 0.3589 0.3499 0.8381  1 Mg 2.96, 1 Pa 3.05
I: 0.6411 0.9909 0.3381  1 Mg 2.96, 1 Pa 3.05
I: 0.6501 0.0091 0.8381  1 Mg 2.96, 1 Pa 3.05
Hg: 0.0000 0.0000 0.0000  6 I 4.18
Hg: 0.0000 0.0000 0.5000  6 I 4.18
Mg: 0.6667 0.3333 0.7500  6 I 2.96
Mg: 0.3333 0.6667 0.2500  6 I 2.96
Pa: 0.3333 0.6667 0.7500  6 I 3.05
Pa: 0.6667 0.3333 0.2500  6 I 3.05


- density of states at the Fermi level of number 6 (MgHgI)?
  0.491 states/eV/f.u.


What did the second record say?
Below is MgHgI after structural relaxation, with properties calculated at the PBE-GGA level.

Output
Energy above the lowest structure with this stoichiometry = 26 meV per atom
Formation energy (no corrections) = -40.1 kJ per mole of atoms
V = 30.82 Å³ per atom
Density of states at the Fermi level = 0.763 states/eV/f.u.

a b c (Å): 7.0124 3.9168 14.0329
angles (deg): 90.00 106.35 90.00
Last column: nearest neighbours and their distance in Å.
Atoms (fractional coordinates):
Hg: 0.5000 0.5000 0.5000  4 Mg 3.05
Hg: 0.5000 0.0000 0.0000  4 Mg 3.05
Hg: 0.0000 0.0000 0.0000  4 Mg 3.07
Hg: 0.0000 0.5000 0.5000  4 Mg 3.07
I: 0.2551 0.0000 0.2632  3 Mg 2.96-3.00
I: 0.2551 0.5000 0.7632  3 Mg 2.96-3.00
I: 0.7449 0.0000 0.7368  3 Mg 2.96-3.00
I: 0.7449 0.5000 0.2368  3 Mg 2.96-3.00
Mg: 0.3178 0.5000 0.1167  3 I 2.96-3.00, 4 Hg 3.05-3.07
Mg: 0.6822 0.0000 0.3833  3 I 2.96-3.00, 4 Hg 3.05-3.07
Mg: 0.3178 0.0000 0.6167  3 I 2.96-3.00, 4 Hg 3.05-3.07
Mg: 0.6822 0.5000 0.8833  3 I 2.96-3.00, 4 Hg 3.05-3.07


- What is the formula in the fifth record?
  MgHg2I6